SrCd2Pd: relaxed, PBE-GGA.

Unit cell a=4.4679 b=10.6806 c=8.1575 alpha=90.00 beta=90.00 gamma=90.00
Space group Cmcm (No. 63)
Symmetry-distinct sites (fractional):
Sr: 0.0000 0.0625 0.2500
Cd: 0.0000 0.3515 0.0562
Pd: 0.0000 0.2228 0.7500

***

YAg2Ir: relaxed, PBE-GGA.

Computed properties:
* total magnetic moment: 0.001 μB per formula unit
* energy of formation: -0.1874 eV per atom

Unit cell a=6.7252 b=6.7252 c=6.7252 alpha=90.00 beta=90.00 gamma=90.00
Space group F-43m (No. 216)
Symmetry-distinct sites (fractional):
Y: 0.0000 0.0000 0.0000
Ag: 0.0000 0.0000 0.5000
Ag: 0.2500 0.2500 0.7500
Ir: 0.2500 0.2500 0.2500

***

Rb2ZnOsO6: relaxed, PBE-GGA.

Computed properties:
* total magnetic moment: 0.001 μB per formula unit

Unit cell a=5.6813 b=5.6813 c=8.0548 alpha=90.00 beta=90.00 gamma=90.00
Space group I4/m (No. 87)
Symmetry-distinct sites (fractional):
Rb: 0.0000 0.5000 0.2500
Zn: 0.0000 0.0000 0.0000
Os: 0.0000 0.0000 0.5000
O: 0.0000 0.0000 0.2670
O: 0.2316 0.7642 0.5000

***

Pr3Tl: relaxed, PBE-GGA.

Computed properties:
* total magnetic moment: 0.052 μB per formula unit

Unit cell a=5.0174 b=5.0174 c=5.0174 alpha=90.00 beta=90.00 gamma=90.00
Space group Pm-3m (No. 221)
Symmetry-distinct sites (fractional):
Pr: 0.0000 0.0000 0.5000
Tl: 0.5000 0.5000 0.5000

***

TaInFeNi: relaxed, PBE-GGA.

Computed properties:
* total magnetic moment: 1.698 μB per formula unit
* E above lowest polymorph: 0.00 eV/f.u.

Unit cell a=6.1757 b=6.1757 c=6.1757 alpha=90.00 beta=90.00 gamma=90.00
Space group F-43m (No. 216)
Symmetry-distinct sites (fractional):
Ta: 0.0000 0.0000 0.0000
In: 0.0000 0.0000 0.5000
Fe: 0.2500 0.2500 0.7500
Ni: 0.2500 0.2500 0.2500

***

LaZnIn: relaxed, PBE-GGA.

Computed properties:
* total magnetic moment: 0.003 μB per formula unit

Unit cell a=7.2386 b=7.2386 c=7.2386 alpha=90.00 beta=90.00 gamma=90.00
Space group F-43m (No. 216)
Symmetry-distinct sites (fractional):
La: 0.0000 0.0000 0.0000
Zn: 0.2500 0.2500 0.2500
In: 0.2500 0.2500 0.7500

***

Raw total energy? In order: -2.67 -5.43 -5.63 -4.39 -7.17 -2.91 eV per atom.